(1)
Computed, not measured: an optimized crystal structure of Bi2HPd5 at the PBE-GGA level of DFT.

Computed properties:
The calculation puts the energy at -0.35290 Ry/atom. The calculation puts the calculated volume at 17.43 Å³ per atom. For the total magnetization, the calculation gives 0.0 μB per formula unit.

abc: 5.874 5.874 5.874
angles: 87.09 121.69 121.69
Element x y z (fractional)
Pd: 0.500 0.243 0.243
Pd: 0.000 0.246 0.246
Pd: 0.000 0.243 0.743
Pd: 0.500 0.743 0.743
Pd: 0.000 0.743 0.243
Bi: 0.500 0.745 0.245
Bi: 0.500 0.245 0.745
H: 0.000 0.013 0.013

(2)
Computed, not measured: an optimized crystal structure of BiH4Pd8 at the PBE-GGA level of DFT.

Computed properties:
The calculation puts the energy at -0.34428 Ry/atom. The calculation puts the calculated volume at 12.06 Å³ per atom. For the total magnetization, the calculation gives 0.0 μB per formula unit.

abc: 4.115 6.506 6.507
angles: 84.27 71.57 71.57
Element x y z (fractional)
Pd: 0.516 0.335 0.634
Pd: 0.848 0.002 0.302
Pd: 0.516 0.668 0.300
Pd: 0.849 0.668 0.634
Pd: 0.848 0.337 0.967
Pd: 0.183 0.002 0.631
Pd: 0.184 0.666 0.967
Pd: 0.182 0.335 0.300
Bi: 0.516 0.002 0.967
H: 0.015 0.318 0.652
H: 0.016 0.686 0.282
H: 0.331 0.687 0.651
H: 0.700 0.317 0.282

(3)
Computed, not measured: an optimized crystal structure of Bi3HPd at the PBE-GGA level of DFT.

Computed properties:
The calculation puts the energy at -0.24280 Ry/atom. The calculation puts the calculated volume at 31.95 Å³ per atom. For the total magnetization, the calculation gives 0.6 μB per formula unit.

abc: 5.426 5.426 5.426
angles: 90.00 90.00 90.00
Site moments in Bohr magnetons follow the coordinates.
Element x y z (fractional)
Bi: 0.000 0.000 0.500  -0.03
Bi: 0.000 0.500 0.000  0.02
Bi: 0.500 0.000 0.000  0.01
H: 0.500 0.500 0.500  0.28
Pd: 0.000 0.000 0.000  -0.01

(4)
Computed, not measured: an optimized crystal structure of Bi2HPd5 at the PBE-GGA level of DFT.

Computed properties:
The calculation puts the energy at -0.35704 Ry/atom. The calculation puts the calculated volume at 16.80 Å³ per atom. For the total magnetization, the calculation gives 0.0 μB per formula unit.

abc: 5.861 7.161 12.810
angles: 90.00 90.00 90.00
Element x y z (fractional)
Pd: 0.500 0.158 0.630
Pd: 0.000 0.000 0.000
Pd: 0.000 0.500 0.500
Pd: 0.000 0.658 0.870
Pd: 0.250 0.823 0.571
Pd: 0.750 0.177 0.429
Pd: 0.500 0.500 0.500
Pd: 0.000 0.342 0.130
Pd: 0.000 0.842 0.370
Pd: 0.750 0.479 0.699
Pd: 0.250 0.323 0.929
Pd: 0.500 0.342 0.130
Pd: 0.500 0.842 0.370
Pd: 0.500 0.000 0.000
Pd: 0.250 0.021 0.199
Pd: 0.000 0.158 0.630
Pd: 0.750 0.677 0.071
Pd: 0.250 0.521 0.301
Pd: 0.750 0.979 0.801
Pd: 0.500 0.658 0.870
Bi: 0.250 0.177 0.433
Bi: 0.750 0.011 0.203
Bi: 0.250 0.489 0.703
Bi: 0.750 0.511 0.297
Bi: 0.250 0.677 0.067
Bi: 0.750 0.823 0.567
Bi: 0.250 0.989 0.797
Bi: 0.750 0.323 0.933
H: 0.750 0.699 0.782
H: 0.250 0.801 0.282
H: 0.750 0.199 0.718
H: 0.250 0.301 0.218

(5)
Computed, not measured: an optimized crystal structure of BiH2Pd2 at the PBE-GGA level of DFT.

Computed properties:
The calculation puts the energy at -0.31528 Ry/atom. The calculation puts the calculated volume at 13.15 Å³ per atom. For the total magnetization, the calculation gives 0.0 μB per formula unit.

abc: 3.379 3.379 6.236
angles: 74.28 74.28 90.00
Element x y z (fractional)
Pd: 0.328 0.328 0.343
Pd: 0.672 0.672 0.657
H: 0.250 0.750 0.500
H: 0.750 0.250 0.500
Bi: 0.000 0.000 0.000

(6)
Computed, not measured: an optimized crystal structure of BiHPd6 at the PBE-GGA level of DFT.

Computed properties:
The calculation puts the energy at -0.35742 Ry/atom. The calculation puts the calculated volume at 15.44 Å³ per atom. For the total magnetization, the calculation gives 0.0 μB per formula unit.

abc: 5.070 5.070 5.059
angles: 80.02 80.02 99.70
Element x y z (fractional)
Pd: 0.913 0.281 0.718
Pd: 0.719 0.087 0.282
Pd: 0.087 0.719 0.282
Pd: 0.282 0.282 0.087
Pd: 0.718 0.718 0.913
Pd: 0.281 0.913 0.718
Bi: 0.500 0.500 0.500
H: 0.000 0.000 0.000